DFT (SCAN) results for a PBEsol-optimized structure of CaCrSb2Mo.

```
5
Lattice="-3.189 -3.031 -2.265 0.971 -3.849 3.783 -4.079 1.993 3.075" Properties=species:S:1:pos:R:3 pbc="T T T"
Sb -2.040 0.996 1.538
Sb 0.486 -1.924 1.891
Mo -3.148 -2.444 2.296
Ca 0.000 0.000 0.000
Cr -1.594 -1.516 -1.133
```

Calculated values
- Fermi-level density of states: 0.51 states/eV per atom
- Raw formation energy: 1.517 eV per atom
- SG: P4/mmm (123)
- Electronic total energy: -25.974 eV per atom
- Total magnetization: 9.524 μB per formula unit

=====

DFT (SCAN) results for a PBEsol-optimized structure of FeCu3Bi.

```
5
Lattice="-2.758 -0.547 -3.434 2.086 -3.767 -1.075 -2.782 -2.282 2.598" Properties=species:S:1:pos:R:3 pbc="T T T"
Bi -1.727 -3.298 -0.955
Cu 1.043 -1.884 -0.538
Cu -1.391 -1.141 1.299
Cu -1.379 -0.273 -1.717
Fe 0.000 0.000 0.000
```

Calculated values
- Fermi-level density of states: 0.43 states/eV per atom
- SG: Pm-3m (221)
- Electronic total energy: -27.635 eV per atom
- ΔE_f: 4.13 eV per formula unit
- Total magnetization: 2.824 μB per formula unit

=====

DFT (SCAN) results for a PBEsol-optimized structure of HoCr2Si2C.

```
6
Lattice="-2.100 2.724 1.862 -3.251 -2.088 -0.612 0.749 -2.475 4.467" Properties=species:S:1:pos:R:3 pbc="T T T"
Cr -1.625 -1.044 -0.306
Cr -1.050 1.362 0.931
C 0.000 0.000 0.000
Si -2.473 -0.351 1.834
Si -2.129 -1.487 3.884
Ho 0.375 -1.237 2.234
```

Calculated values
- Fermi-level density of states: 0.42 states/eV per atom
- Raw formation energy: -0.498 eV per atom
- SG: P4/mmm (123)
- Electronic total energy: -19.813 eV per atom
- Total magnetization: 2.137 μB per formula unit

=====

DFT (SCAN) results for a PBEsol-optimized structure of SrMgGaRh2.

```
5
Lattice="4.855 0.000 0.000 0.000 4.855 0.000 0.000 0.000 5.520" Properties=species:S:1:pos:R:3 pbc="T T T"
Sr 0.000 0.000 0.000
Mg 0.000 0.000 2.760
Rh 0.000 2.427 0.000
Rh 2.427 0.000 0.000
Ga 2.427 2.427 2.760
```

Calculated values
- Fermi-level density of states: 0.45 states/eV per atom
- SG: P4/mmm (123)
- Electronic total energy: -20.692 eV per atom
- ΔE_f: 7.68 eV per formula unit
- Total magnetization: 0.000 μB per formula unit